[1]
Below is Hg2HPd6 after structural relaxation, with properties calculated at the PBE-GGA level.

Values from the calculation:
The value obtained for the theoretical density is 12.80 g/cm3. The value obtained for the uncorrected energy is -4.04 eV per atom. Its space-group type is I4/mmm. For the magnetic moment, the calculation gives 0.00 μB/f.u.

a b c (Å): 5.7642 5.7642 5.7642
angles (deg): 120.22 120.22 89.61
Closest atoms and distances in Å follow each position.
Fractional coordinates of all 9 atoms:
Hg 0.2500 0.7500 0.5000  12 Pd 2.87-2.88
Hg 0.7500 0.2500 0.5000  12 Pd 2.87-2.88
H 0.0000 0.0000 0.0000  6 Pd 2.04-2.05
Pd 0.2509 0.2509 0.0000  1 H 2.05
Pd 0.2510 0.2510 0.5019  1 H 2.04
Pd 0.2510 0.7490 0.0000  1 H 2.04
Pd 0.7490 0.2510 0.0000  1 H 2.04
Pd 0.7491 0.7491 0.0000  1 H 2.05
Pd 0.7490 0.7490 0.4981  1 H 2.04

---

[2]
Below is YHf2Hg2 after structural relaxation, with properties calculated at the PBE-GGA level.

Values from the calculation:
The value obtained for the theoretical density is 12.03 g/cm3. Its space-group type is P4/mbm. The energy of formation is 53 meV/atom. As for the offset from the most stable computed form: 64 meV per atom. For the magnetic moment, the calculation gives 0.52 μB/f.u.

a b c (Å): 8.6502 8.6502 3.1255
angles (deg): 90.00 90.00 90.00
Closest atoms and distances in Å follow each position.
Fractional coordinates of all 10 atoms:
Y 0.0000 0.0000 0.0000  2 Y 3.13, 4 Hf 3.44
Y 0.5000 0.5000 0.0000  2 Y 3.13, 4 Hf 3.44
Hf 0.1207 0.3793 0.0000  6 Hg 2.93-3.05, 3 Hf 2.95-3.13
Hf 0.3793 0.8793 0.0000  6 Hg 2.93-3.05, 3 Hf 2.95-3.13
Hf 0.6207 0.1207 0.0000  6 Hg 2.93-3.05, 3 Hf 2.95-3.13
Hf 0.8793 0.6207 0.0000  6 Hg 2.93-3.05, 3 Hf 2.95-3.13
Hg 0.1764 0.6764 0.5000  6 Hf 2.93-3.05, 2 Hg 3.13
Hg 0.3236 0.1764 0.5000  6 Hf 2.93-3.05, 2 Hg 3.13
Hg 0.6764 0.8236 0.5000  6 Hf 2.93-3.05, 2 Hg 3.13
Hg 0.8236 0.3236 0.5000  6 Hf 2.93-3.05, 2 Hg 3.13

---

[3]
Below is B after structural relaxation, with properties calculated at the PBE-GGA level.

Values from the calculation:
The value obtained for the theoretical density is 2.65 g/cm3. Its space-group type is C2/m. The energy of formation is 370 meV/atom. As for the offset from the most stable computed form: 370 meV per atom. For the magnetic moment, the calculation gives 0.00 μB/f.u.

a b c (Å): 5.9089 1.8611 4.9218
angles (deg): 90.00 90.98 90.00
Closest atoms and distances in Å follow each position.
Fractional coordinates of all 8 atoms:
B 0.0254 0.0000 0.1759  6 B 1.75-1.86
B 0.2417 0.0000 0.6686  7 B 1.77-1.91
B 0.2583 0.5000 0.3314  7 B 1.77-1.91
B 0.4746 0.5000 0.8241  6 B 1.75-1.86
B 0.5254 0.5000 0.1759  6 B 1.75-1.86
B 0.7417 0.5000 0.6686  7 B 1.77-1.91
B 0.7583 0.0000 0.3314  7 B 1.77-1.91
B 0.9746 0.0000 0.8241  6 B 1.75-1.86

---

[4]
Below is KCu2BiCl6 after structural relaxation, with properties calculated at the PBE-GGA level.

Values from the calculation:
The value obtained for the theoretical density is 3.25 g/cm3. The formation energy without anion corrections comes out at -970 meV per atom. Its space-group type is R-3. For the magnetic moment, the calculation gives 0.19 μB/f.u.

a b c (Å): 8.1769 8.1769 8.1769
angles (deg): 50.54 50.54 50.54
Closest atoms and distances in Å follow each position.
Fractional coordinates of all 10 atoms:
K 0.0000 0.0000 0.0000  6 Cl 3.19
Cu 0.2378 0.2378 0.2378  3 Cl 2.23
Cu 0.7622 0.7622 0.7622  3 Cl 2.23
Bi 0.5000 0.5000 0.5000  6 Cl 2.76
Cl 0.0900 0.7316 0.4529  1 Cu 2.23
Cl 0.2684 0.5471 0.9100  1 Cu 2.23
Cl 0.4529 0.0900 0.7316  1 Cu 2.23
Cl 0.5471 0.9100 0.2684  1 Cu 2.23
Cl 0.7316 0.4529 0.0900  1 Cu 2.23
Cl 0.9100 0.2684 0.5471  1 Cu 2.23

---

[5]
Below is Rb2CdCuAs after structural relaxation, with properties calculated at the PBE-GGA level.

Values from the calculation:
The value obtained for the theoretical density is 3.63 g/cm3. Its space-group type is P4/mmm. The energy of formation is -58 meV/atom. For the magnetic moment, the calculation gives 0.00 μB/f.u.

a b c (Å): 6.5838 6.5838 4.4548
angles (deg): 90.00 90.00 90.00
Closest atoms and distances in Å follow each position.
Fractional coordinates of all 5 atoms:
Rb 0.0000 0.5000 0.0000  2 Cu 3.29
Rb 0.5000 0.0000 0.0000  2 Cu 3.29
Cd 0.0000 0.0000 0.5000  8 Rb 3.97
Cu 0.5000 0.5000 0.0000  2 As 2.23
As 0.5000 0.5000 0.5000  2 Cu 2.23

---

[6]
Below is NiPt2Se after structural relaxation, with properties calculated at the PBE-GGA level.

Values from the calculation:
The value obtained for the theoretical density is 14.25 g/cm3. The formation energy without anion corrections comes out at 149 meV per atom. Its space-group type is Immm. For the magnetic moment, the calculation gives 0.00 μB/f.u.

a b c (Å): 2.8386 4.6751 9.2715
angles (deg): 90.00 90.00 90.00
Closest atoms and distances in Å follow each position.
Fractional coordinates of all 8 atoms:
Ni 0.0000 0.0000 0.0000  4 Pt 2.73, 4 Se 2.73, 2 Ni 2.84
Ni 0.5000 0.5000 0.5000  4 Pt 2.73, 4 Se 2.73, 2 Ni 2.84
Pt 0.0000 0.5000 0.2490  2 Se 2.71, 2 Ni 2.73, 6 Pt 2.73-2.84
Pt 0.0000 0.5000 0.7510  2 Se 2.71, 2 Ni 2.73, 6 Pt 2.73-2.84
Pt 0.5000 0.0000 0.2510  2 Se 2.71, 2 Ni 2.73, 6 Pt 2.73-2.84
Pt 0.5000 0.0000 0.7490  2 Se 2.71, 2 Ni 2.73, 6 Pt 2.73-2.84
Se 0.0000 0.0000 0.5000  4 Pt 2.71, 4 Ni 2.73, 2 Se 2.84
Se 0.5000 0.5000 0.0000  4 Pt 2.71, 4 Ni 2.73, 2 Se 2.84

---

[7]
Below is Th8GaGe5 after structural relaxation, with properties calculated at the PBE-GGA level.

Values from the calculation:
The value obtained for the theoretical density is 10.03 g/cm3. Its space-group type is I-4. The energy of formation is -623 meV/atom. For the magnetic moment, the calculation gives 0.00 μB/f.u.

a b c (Å): 7.8968 7.8968 7.8968
angles (deg): 109.50 109.50 109.42
Closest atoms and distances in Å follow each position.
Fractional coordinates of all 14 atoms:
Th 0.1270 0.7405 0.7525  5 Ge 3.00-3.30, 1 Ga 3.33
Th 0.1286 0.2418 0.7551  5 Ge 3.00-3.33, 1 Ga 3.03
Th 0.2595 0.0120 0.3864  5 Ge 3.00-3.30, 1 Ga 3.33
Th 0.4867 0.3735 0.2449  5 Ge 3.00-3.33, 1 Ga 3.03
Th 0.6255 0.8730 0.6136  5 Ge 3.00-3.30, 1 Ga 3.33
Th 0.6265 0.8714 0.1132  5 Ge 3.00-3.33, 1 Ga 3.03
Th 0.7582 0.5133 0.8868  5 Ge 3.00-3.33, 1 Ga 3.03
Th 0.9880 0.3745 0.2475  5 Ge 3.00-3.30, 1 Ga 3.33
Ga 0.7500 0.2500 0.5000  8 Th 3.03-3.33
Ge 0.0000 0.0000 0.0000  8 Th 3.00-3.30
Ge 0.2503 0.6278 0.1269  8 Th 3.00-3.33
Ge 0.3722 0.4991 0.6225  8 Th 3.00-3.33
Ge 0.5009 0.1234 0.8731  8 Th 3.00-3.33
Ge 0.8766 0.7497 0.3775  8 Th 3.00-3.33

---

[8]
Below is PrDy3Y6Er2 after structural relaxation, with properties calculated at the PBE-GGA level.

Values from the calculation:
The value obtained for the theoretical density is 6.47 g/cm3. Its space-group type is C2/m. The energy of formation is 21 meV/atom. For the magnetic moment, the calculation gives 0.00 μB/f.u.

a b c (Å): 6.1705 6.1705 11.8193
angles (deg): 94.97 94.97 119.95
Closest atoms and distances in Å follow each position.
Fractional coordinates of all 12 atoms:
Pr 0.0000 0.0000 0.0000  6 Er 3.56, 6 Y 3.57-3.58
Dy 0.1671 0.8329 0.5000  6 Y 3.55-3.56, 6 Dy 3.56-3.57
Dy 0.5000 0.5000 0.5000  6 Y 3.55, 6 Dy 3.56-3.57
Dy 0.8329 0.1671 0.5000  6 Y 3.55-3.56, 6 Dy 3.56-3.57
Y 0.0847 0.4188 0.2511  3 Dy 3.55-3.56, 6 Y 3.56-3.58, 2 Er 3.57, 1 Pr 3.58
Y 0.2498 0.2498 0.7490  3 Dy 3.55-3.56, 6 Y 3.56-3.58, 1 Pr 3.57, 2 Er 3.57
Y 0.4188 0.0847 0.2511  3 Dy 3.55-3.56, 6 Y 3.56-3.58, 2 Er 3.57, 1 Pr 3.58
Y 0.5812 0.9153 0.7489  3 Dy 3.55-3.56, 6 Y 3.56-3.58, 2 Er 3.57, 1 Pr 3.58
Y 0.7502 0.7502 0.2510  3 Dy 3.55-3.56, 6 Y 3.56-3.58, 1 Pr 3.57, 2 Er 3.57
Y 0.9153 0.5812 0.7489  3 Dy 3.55-3.56, 6 Y 3.56-3.58, 2 Er 3.57, 1 Pr 3.58
Er 0.3333 0.6667 0.0000  3 Pr 3.56, 3 Er 3.56, 6 Y 3.57
Er 0.6667 0.3333 0.0000  3 Pr 3.56, 3 Er 3.56, 6 Y 3.57

---

Repeat the seventh record exactly.
Below is Th8GaGe5 after structural relaxation, with properties calculated at the PBE-GGA level.

Values from the calculation:
The value obtained for the theoretical density is 10.03 g/cm3. Its space-group type is I-4. The energy of formation is -623 meV/atom. For the magnetic moment, the calculation gives 0.00 μB/f.u.

a b c (Å): 7.8968 7.8968 7.8968
angles (deg): 109.50 109.50 109.42
Closest atoms and distances in Å follow each position.
Fractional coordinates of all 14 atoms:
Th 0.1270 0.7405 0.7525  5 Ge 3.00-3.30, 1 Ga 3.33
Th 0.1286 0.2418 0.7551  5 Ge 3.00-3.33, 1 Ga 3.03
Th 0.2595 0.0120 0.3864  5 Ge 3.00-3.30, 1 Ga 3.33
Th 0.4867 0.3735 0.2449  5 Ge 3.00-3.33, 1 Ga 3.03
Th 0.6255 0.8730 0.6136  5 Ge 3.00-3.30, 1 Ga 3.33
Th 0.6265 0.8714 0.1132  5 Ge 3.00-3.33, 1 Ga 3.03
Th 0.7582 0.5133 0.8868  5 Ge 3.00-3.33, 1 Ga 3.03
Th 0.9880 0.3745 0.2475  5 Ge 3.00-3.30, 1 Ga 3.33
Ga 0.7500 0.2500 0.5000  8 Th 3.03-3.33
Ge 0.0000 0.0000 0.0000  8 Th 3.00-3.30
Ge 0.2503 0.6278 0.1269  8 Th 3.00-3.33
Ge 0.3722 0.4991 0.6225  8 Th 3.00-3.33
Ge 0.5009 0.1234 0.8731  8 Th 3.00-3.33
Ge 0.8766 0.7497 0.3775  8 Th 3.00-3.33

---

What is the magnetic moment in the seventh record? 0.00 μB/f.u.

---

Number 7 is which compound? Th8GaGe5

---

Which value of theoretical density does entry 5 give? 3.63 g/cm3